[1]
4
Lattice="2.562 0.000 0.000 0.000 3.756 0.000 0.000 0.000 5.242" Properties=species:S:1:pos:R:3 comment="PBE-GGA LiFe2W, optimized geometry" e_form_mev_per_atom=349 pbc="T T T"
Fe 0.000 0.000 0.075
Fe 0.000 0.000 2.546
Li 1.281 1.878 1.310
W 1.281 1.878 3.931

***

[2]
12
Lattice="4.778 0.000 0.000 0.000 4.778 0.000 0.000 0.000 13.581" Properties=species:S:1:pos:R:3 comment="PBE-GGA Mg2In9Sn, optimized geometry" e_form_mev_per_atom=-4 pbc="T T T"
Mg 0.000 0.000 4.584
Mg 0.000 0.000 8.998
In 2.389 2.389 0.000
In 2.389 2.389 4.601
In 2.389 2.389 8.980
In 2.389 0.000 2.354
In 2.389 0.000 6.791
In 2.389 0.000 11.228
In 0.000 2.389 2.354
In 0.000 2.389 6.791
In 0.000 2.389 11.228
Sn 0.000 0.000 0.000

***

[3]
7
Lattice="4.070 0.000 -0.888 -0.226 4.450 -1.034 0.039 -0.036 9.953" Properties=species:S:1:pos:R:3 comment="PBE-GGA Ac3Si3Ni, optimized geometry" formation_energy_uncorrected_ev_per_atom=-0.6117 pbc="T T T"
Ac 1.143 3.626 5.240
Ac 2.761 0.809 2.882
Ac 3.882 4.411 8.024
Si 0.411 2.809 1.885
Si 3.494 1.627 6.242
Si 2.144 2.472 0.054
Ni 1.702 1.899 7.801

***

[4]
10
Lattice="-0.878 2.599 4.642 7.201 -3.767 3.470 0.859 7.742 -4.172" Properties=species:S:1:pos:R:3 comment="PBE-GGA TbTm7Sn2, optimized geometry" e_form_mev_per_atom=188 pbc="T T T"
Tb 0.000 0.000 0.000
Tm 5.759 -1.150 1.733
Tm 2.301 5.126 -2.435
Tm 0.240 3.441 1.251
Tm 6.943 3.134 2.690
Tm 1.805 0.600 3.137
Tm 5.377 5.975 0.803
Tm 3.591 3.287 1.970
Sn 4.831 1.037 3.464
Sn 2.351 5.537 0.476

***

[5]
3
Lattice="4.842 0.000 0.000 2.421 4.193 0.000 2.421 1.398 3.953" Properties=species:S:1:pos:R:3 comment="PBE-GGA KMnTc, optimized geometry" polymorph_energy_mev_per_atom=1898.1 e_form_mev_per_atom=2461 pbc="T T T"
K 7.263 4.193 2.965
Mn 0.000 0.000 0.000
Tc 4.842 2.795 1.977

***

[6]
5
Lattice="5.639 0.000 0.000 0.000 5.639 0.000 0.000 0.000 5.639" Properties=species:S:1:pos:R:3 comment="PBE-GGA SrCdCl3, optimized geometry" polymorph_energy_mev_per_atom=0.0 formation_energy_uncorrected_ev_per_atom=-1.3951 pbc="T T T"
Sr 0.000 0.000 0.000
Cl 0.000 2.820 0.000
Cl 0.000 0.000 2.820
Cl 2.820 0.000 0.000
Cd 2.820 2.820 2.820

***

Number 1: V 12.6 Å³ per atom, ρ 9.96 Mg/m³. Number 2: V 25.8 Å³ per atom, ρ 6.43 Mg/m³. Number 3: V 25.8 Å³ per atom, ρ 7.59 Mg/m³. Number 4: V 36.9 Å³ per atom, ρ 7.10 Mg/m³. Number 5: V 26.8 Å³ per atom, ρ 3.97 Mg/m³. Number 6: V 35.9 Å³ per atom, ρ 2.84 Mg/m³.